Computed, not measured: crystalline Cr3GeF at its relaxed geometry at the GGA+U level of DFT.

As for the crystal system: cubic. For the total magnetization, the calculation gives 13.0 μB per cell. The distance to the lowest polymorph of the same formula is 0 meV per atom.

The space group is Pm-3m (No. 221) and the conventional cell measures 4.449, 4.449 and 4.449 Å, with angles of 90.00, 90.00 and 90.00 degrees. The asymmetric unit holds Cr at (0.000, 0.000, 0.500), Ge at (0.500, 0.500, 0.500) and F at (0.000, 0.000, 0.000).